# PBE-GGA TcSb2, relaxed
data_TcSb2
_cell_length_a 3.368
_cell_length_b 6.640
_cell_length_c 6.640
_cell_angle_alpha 90.00
_cell_angle_beta 90.00
_cell_angle_gamma 89.99
_symmetry_space_group_name_H-M 'P 1'
_symmetry_Int_Tables_number 1
loop_
_symmetry_equiv_pos_as_xyz
'x,y,z'
loop_
_atom_site_label
_atom_site_type_symbol
_atom_site_fract_x
_atom_site_fract_y
_atom_site_fract_z
Tc1 Tc 0.500 0.000 0.000
Tc2 Tc 0.000 0.500 0.500
Sb1 Sb 0.000 0.219 0.219
Sb2 Sb 0.000 0.781 0.781
Sb3 Sb 0.500 0.281 0.719
Sb4 Sb 0.500 0.719 0.281
# **E_tot**: -6.0918 eV/atom
# **ΔE_f (raw)**: 0.1118 eV per atom
# **Space-group type**: No. 136
# **DOS at the Fermi energy**: 6.77 states/eV per cell
# **Energy relative to the lowest polymorph listed for this composition**: 130 meV/atom